Entry 1:
## ReAsPtO (PBE-GGA)

Data for ReAsPtO after structural relaxation.

POSCAR file:
```
ReAsPtO
1.0
4.029 0.000 0.000
0.000 4.029 0.000
0.000 0.000 6.643
As O Pt Re
2 2 2 2
Direct
0.000 0.500 0.258
0.500 0.000 0.742
0.000 0.000 0.000
0.500 0.500 0.000
0.500 0.000 0.210
0.000 0.500 0.790
0.000 0.000 0.500
0.500 0.500 0.500
```

Summary:
Its size of the total moment is 0.00 μB/f.u. The value obtained for the calculated total energy is -6.73 eV per atom.

=====

Entry 2:
## ReAsPtO (PBE-GGA)

Data for ReAsPtO after structural relaxation.

POSCAR file:
```
ReAsPtO
1.0
3.875 0.000 0.000
0.000 3.875 0.000
0.000 0.000 7.047
As O Pt Re
2 2 2 2
Direct
0.750 0.750 0.255
0.250 0.250 0.745
0.750 0.250 0.000
0.250 0.750 0.000
0.750 0.250 0.500
0.250 0.750 0.500
0.250 0.250 0.171
0.750 0.750 0.829
```

Summary:
Its size of the total moment is 0.02 μB/f.u. The value obtained for the calculated total energy is -6.87 eV per atom.

=====

Entry 3:
## ReAsPtO (PBE-GGA)

Data for ReAsPtO after structural relaxation.

POSCAR file:
```
ReAsPtO
1.0
3.808 0.000 0.000
0.000 5.322 0.000
0.000 0.000 7.295
As O Pt Re
2 2 2 2
Direct
0.000 0.779 0.409
0.000 0.221 0.909
0.500 0.412 0.254
0.500 0.588 0.754
0.000 0.829 0.076
0.000 0.171 0.576
0.500 0.526 0.015
0.500 0.474 0.515
```

Summary:
Its size of the total moment is 0.00 μB/f.u. The value obtained for the calculated total energy is -7.28 eV per atom.

=====

Entry 4:
## ReAsPtO (PBE-GGA)

Data for ReAsPtO after structural relaxation.

POSCAR file:
```
ReAsPtO
1.0
3.581 0.000 0.000
0.000 6.325 0.000
0.000 0.000 5.144
As O Pt Re
2 2 2 2
Direct
0.000 0.760 0.383
0.000 0.240 0.883
0.500 0.091 0.418
0.500 0.909 0.918
0.500 0.459 0.059
0.500 0.541 0.559
0.000 0.201 0.395
0.000 0.799 0.895
```

Summary:
Its size of the total moment is 0.00 μB/f.u. The value obtained for the calculated total energy is -7.33 eV per atom.

=====

Entry 5:
## SbAsPtO (PBE-GGA)

Data for SbAsPtO after structural relaxation.

POSCAR file:
```
SbAsPtO
1.0
-3.299 -2.845 0.796
1.075 -2.268 -3.648
5.001 -4.589 4.328
As O Pt Sb
2 2 2 2
Direct
0.750 0.750 0.258
0.250 0.250 0.742
0.750 0.250 0.000
0.250 0.750 0.000
0.250 0.250 0.044
0.750 0.750 0.956
0.750 0.250 0.500
0.250 0.750 0.500
```

Summary:
Its size of the total moment is 0.00 μB/f.u. The value obtained for the calculated total energy is -4.58 eV per atom.

=====

Entry 6:
## SbAsPtO (PBE-GGA)

Data for SbAsPtO after structural relaxation.

POSCAR file:
```
SbAsPtO
1.0
3.729 0.000 0.000
0.000 6.967 0.000
0.000 0.000 6.473
As O Pt Sb
2 2 2 2
Direct
0.000 0.312 0.353
0.000 0.688 0.853
0.500 0.833 0.428
0.500 0.167 0.928
0.500 0.768 0.063
0.500 0.232 0.563
0.000 0.700 0.410
0.000 0.300 0.910
```

Summary:
Its size of the total moment is 0.00 μB/f.u. The value obtained for the calculated total energy is -5.12 eV per atom.

=====

Entry 7:
## SbAsPtO (PBE-GGA)

Data for SbAsPtO after structural relaxation.

POSCAR file:
```
SbAsPtO
1.0
-0.298 -3.886 -0.198
2.252 -0.334 3.169
-7.513 0.303 5.373
As O Pt Sb
2 2 2 2
Direct
0.000 0.500 0.322
0.500 0.000 0.678
0.000 0.000 0.000
0.500 0.500 0.000
0.000 0.000 0.500
0.500 0.500 0.500
0.500 0.000 0.130
0.000 0.500 0.870
```

Summary:
Its size of the total moment is 0.03 μB/f.u. The value obtained for the calculated total energy is -5.38 eV per atom.

=====

Entry 8:
## SbAsPtO (PBE-GGA)

Data for SbAsPtO after structural relaxation.

POSCAR file:
```
SbAsPtO
1.0
-0.167 -1.553 -3.512
5.053 -2.478 0.855
-3.277 -5.751 2.699
As O Pt Sb
2 2 2 2
Direct
0.000 0.832 0.384
0.000 0.168 0.884
0.500 0.314 0.288
0.500 0.686 0.788
0.000 0.793 0.054
0.000 0.207 0.554
0.500 0.465 0.027
0.500 0.535 0.527
```

Summary:
Its size of the total moment is 0.00 μB/f.u. The value obtained for the calculated total energy is -5.22 eV per atom.

=====

Entry 9:
## SiAsPtO (PBE-GGA)

Data for SiAsPtO after structural relaxation.

POSCAR file:
```
SiAsPtO
1.0
3.763 0.000 0.000
0.000 8.317 0.000
0.000 0.000 4.582
As O Pt Si
2 2 2 2
Direct
0.000 0.791 0.439
0.000 0.209 0.939
0.500 0.444 0.355
0.500 0.556 0.855
0.000 0.093 0.443
0.000 0.907 0.943
0.500 0.379 0.017
0.500 0.621 0.517
```

Summary:
Its size of the total moment is 0.00 μB/f.u. The value obtained for the calculated total energy is -6.13 eV per atom.

=====

Entry 10:
## SiAsPtO (PBE-GGA)

Data for SiAsPtO after structural relaxation.

POSCAR file:
```
SiAsPtO
1.0
-0.325 -3.465 -1.308
3.319 -0.855 1.441
-4.206 -2.664 8.105
As O Pt Si
2 2 2 2
Direct
0.750 0.750 0.319
0.250 0.250 0.681
0.750 0.250 0.000
0.250 0.750 0.000
0.750 0.250 0.500
0.250 0.750 0.500
0.250 0.250 0.093
0.750 0.750 0.907
```

Summary:
Its size of the total moment is 0.00 μB/f.u. The value obtained for the calculated total energy is -5.77 eV per atom.

=====

Entry 11:
## SiAsPtO (PBE-GGA)

Data for SiAsPtO after structural relaxation.

POSCAR file:
```
SiAsPtO
1.0
-2.179 -3.185 -1.423
0.905 -2.137 3.396
-6.544 2.885 3.560
As O Pt Si
2 2 2 2
Direct
0.000 0.500 0.321
0.500 0.000 0.679
0.000 0.000 0.000
0.500 0.500 0.000
0.500 0.000 0.067
0.000 0.500 0.933
0.000 0.000 0.500
0.500 0.500 0.500
```

Summary:
Its size of the total moment is 0.00 μB/f.u. The value obtained for the calculated total energy is -4.99 eV per atom.

=====

Entry 12:
## SiAsPtO (PBE-GGA)

Data for SiAsPtO after structural relaxation.

POSCAR file:
```
SiAsPtO
1.0
-0.341 1.816 -1.995
3.581 -3.596 -3.884
-6.951 -4.137 -2.578
As O Pt Si
2 2 2 2
Direct
0.000 0.842 0.364
0.000 0.158 0.864
0.500 0.348 0.424
0.500 0.652 0.924
0.500 0.116 0.120
0.500 0.884 0.620
0.000 0.228 0.346
0.000 0.772 0.846
```

Summary:
Its size of the total moment is 0.01 μB/f.u. The value obtained for the calculated total energy is -6.08 eV per atom.